1.
The following is a PBE calculation of BaSiO3 after structural relaxation, from Alexandria via LeMat-Bulk.

Computed properties:
- Formation energy (no corrections): -2.96 eV per atom

a = 4.635 Å, b = 5.690 Å, c = 12.705 Å
α = 90.00°, β = 90.00°, γ = 90.00°
Space group P2_12_12_1 (No. 19)
Inequivalent atoms, fractional coordinates:
Ba 0.229 0.184 0.142 x4
Si 0.181 0.804 0.927 x4
O 0.171 0.277 0.543 x4
O 0.241 0.080 0.906 x4
O 0.250 0.378 0.333 x4

=====

2.
The following is a PBE calculation of YPu2Rh2 after structural relaxation, from Alexandria via LeMat-Bulk.

Computed properties:
- Excess energy over the best structure of this formula in the dataset: 0.00 eV per formula unit

a = 4.7277 Å, b = 4.7277 Å, c = 16.5084 Å
α = 90.00°, β = 90.00°, γ = 120.00°
Space group R-3m (No. 166, hexagonal axes)
Inequivalent atoms, fractional coordinates:
Y 0.0000 0.0000 0.0000 x3
Pu 0.0000 0.0000 0.2105 x6
Rh 0.0000 0.0000 0.4012 x6

=====

3.
The following is a PBE calculation of BaTaSe2F after structural relaxation, from Alexandria via LeMat-Bulk.

Computed properties:
- Formation energy (no corrections): -1.57 eV per atom

a = 5.203 Å, b = 5.203 Å, c = 4.308 Å
α = 90.00°, β = 90.00°, γ = 90.00°
Space group P4/mmm (No. 123)
Inequivalent atoms, fractional coordinates:
Ba 0.000 0.000 0.000 x1
Ta 0.500 0.500 0.500 x1
Se 0.000 0.500 0.500 x2
F 0.500 0.500 0.000 x1